Entry 1:
# PBE DyInRu, relaxed
data_DyInRu
_chemical_formula_sum 'Dy4 In4 Ru4'
_cell_length_a 6.576
_cell_length_b 6.576
_cell_length_c 6.576
_cell_angle_alpha 90.00
_cell_angle_beta 90.00
_cell_angle_gamma 90.00
_space_group_name_H-M_alt 'F -4 3 m'
_space_group_IT_number 216
_space_group_name_Hall 'F -4 2 3'
loop_
_atom_site_label
_atom_site_fract_x
_atom_site_fract_y
_atom_site_fract_z
Dy1 0.000 0.000 0.000
In1 0.000 0.000 0.500
Ru1 0.250 0.250 0.750
# - Uncorrected energy: -68.81 eV per cell
# - ΔE_f: -0.196 eV per atom


Entry 2:
# PBE DyInRu4, relaxed
data_DyInRu4
_chemical_formula_sum 'Dy4 In4 Ru16'
_cell_length_a 7.455
_cell_length_b 7.455
_cell_length_c 7.455
_cell_angle_alpha 90.00
_cell_angle_beta 90.00
_cell_angle_gamma 90.00
_space_group_name_H-M_alt 'F -4 3 m'
_space_group_IT_number 216
_space_group_name_Hall 'F -4 2 3'
loop_
_atom_site_label
_atom_site_fract_x
_atom_site_fract_y
_atom_site_fract_z
Dy1 0.000 0.000 0.000
In1 0.250 0.250 0.250
Ru1 0.124 0.124 0.624
# - Uncorrected energy: -179.10 eV per cell
# - ΔE_f: -0.055 eV per atom


Entry 3:
# PBE Dy8InRu2, relaxed
data_Dy8InRu2
_chemical_formula_sum 'Dy16 In2 Ru4'
_cell_length_a 8.770
_cell_length_b 13.140
_cell_length_c 5.426
_cell_angle_alpha 90.00
_cell_angle_beta 103.41
_cell_angle_gamma 90.00
_space_group_name_H-M_alt 'C 1 2/m 1'
_space_group_IT_number 12
_space_group_name_Hall '-C 2y'
loop_
_atom_site_label
_atom_site_fract_x
_atom_site_fract_y
_atom_site_fract_z
Dy1 0.000 0.249 0.000
Dy2 0.115 0.500 0.801
Dy3 0.197 0.132 0.576
In1 0.000 0.000 0.000
Ru1 0.000 0.313 0.500
# - Excess energy over the best structure of this formula in the dataset: 0 meV per atom
# - Uncorrected energy: -121.68 eV per cell
# - ΔE_f: -0.248 eV per atom


Entry 4:
# PBE DyIn2Ru, relaxed
data_DyIn2Ru
_chemical_formula_sum 'Dy4 In8 Ru4'
_cell_length_a 6.894
_cell_length_b 6.894
_cell_length_c 6.894
_cell_angle_alpha 90.00
_cell_angle_beta 90.00
_cell_angle_gamma 90.00
_space_group_name_H-M_alt 'F m -3 m'
_space_group_IT_number 225
_space_group_name_Hall '-F 4 2 3'
loop_
_atom_site_label
_atom_site_fract_x
_atom_site_fract_y
_atom_site_fract_z
Dy1 0.000 0.000 0.000
In1 0.250 0.250 0.250
Ru1 0.000 0.000 0.500
# - Uncorrected energy: -80.30 eV per cell
# - ΔE_f: -0.180 eV per atom


Entry 5:
# PBE DyInRu, relaxed
data_DyInRu
_chemical_formula_sum 'Dy2 In2 Ru2'
_cell_length_a 3.441
_cell_length_b 3.441
_cell_length_c 10.643
_cell_angle_alpha 90.00
_cell_angle_beta 90.00
_cell_angle_gamma 90.00
_space_group_name_H-M_alt 'I 4 m m'
_space_group_IT_number 107
_space_group_name_Hall 'I 4 -2'
loop_
_atom_site_label
_atom_site_fract_x
_atom_site_fract_y
_atom_site_fract_z
Dy1 0.000 0.000 0.000
In1 0.000 0.000 0.709
Ru1 0.000 0.000 0.347
# - Uncorrected energy: -35.02 eV per cell
# - ΔE_f: -0.297 eV per atom


Entry 6:
# PBE Dy6InRu, relaxed
data_Dy6InRu
_chemical_formula_sum 'Dy6 In1 Ru1'
_cell_length_a 6.856
_cell_length_b 6.906
_cell_length_c 7.425
_cell_angle_alpha 90.46
_cell_angle_beta 116.89
_cell_angle_gamma 119.74
_space_group_name_H-M_alt 'P -1'
_space_group_IT_number 2
_space_group_name_Hall '-P 1'
loop_
_atom_site_label
_atom_site_fract_x
_atom_site_fract_y
_atom_site_fract_z
Dy1 0.048 0.083 0.256
Dy2 0.291 0.707 0.255
Dy3 0.323 0.533 0.746
In1 0.500 0.000 0.000
Ru1 0.500 0.500 0.500
# - Excess energy over the best structure of this formula in the dataset: 128 meV per atom
# - Uncorrected energy: -39.69 eV per cell
# - ΔE_f: -0.008 eV per atom